No. 1
AsP2SO, relaxed, DFT PBE; uncorrected formation energy = 1.45 eV/atom; symmetry = No. 123; spin magnetization = 0.8 μB per cell
1.0
4.7566 0.0000 0.0000
0.0000 4.7566 0.0000
0.0000 0.0000 4.6843
P O As S
2 1 1 1
Direct
0.0000 0.5000 0.0000
0.5000 0.0000 0.0000
0.5000 0.5000 0.5000
0.0000 0.0000 0.0000
0.0000 0.0000 0.5000

=====

No. 2
SrLiSO4, relaxed, DFT PBE; uncorrected formation energy = -1.69 eV/atom; symmetry = No. 82; spin magnetization = 0.2 μB per cell
1.0
5.5609 0.0000 0.0000
0.0000 5.5609 0.0000
-2.7804 -2.7804 3.8787
O S Li Sr
4 1 1 1
Direct
0.2526 0.0555 0.7216
0.3339 0.7474 0.2784
0.4690 0.6661 0.7216
0.9445 0.5310 0.2784
0.2500 0.7500 0.5000
0.5000 0.5000 0.0000
0.0000 0.0000 0.0000

=====

No. 3
CaNdNb2O7, relaxed, DFT PBE; uncorrected formation energy = -2.87 eV/atom; symmetry = No. 74; spin magnetization = 2.0 μB per cell
1.0
7.5135 0.0163 0.0120
0.0207 7.5135 -0.0120
-3.7087 -3.8233 5.2991
O Nb Ca Nd
14 4 2 2
Direct
0.9266 0.6752 0.8516
0.0857 0.3357 0.7500
0.6764 0.9251 0.3516
0.3761 0.6261 0.7500
0.9143 0.6643 0.2500
0.3168 0.0668 0.2500
0.6832 0.9332 0.7500
0.0734 0.3248 0.1484
0.3236 0.0749 0.6484
0.0734 0.9251 0.7487
0.3236 0.6752 0.2487
0.9266 0.0749 0.2513
0.6764 0.3248 0.7513
0.6239 0.3739 0.2500
0.0000 0.5000 0.0000
0.0000 0.0000 0.5000
0.5000 0.0000 0.5000
0.0000 0.0000 0.0000
0.5000 0.0000 0.0000
0.5000 0.5000 0.5000
0.0000 0.5000 0.5000
0.5000 0.5000 0.0000

=====

No. 4
La2YEr3Se6, relaxed, DFT PBE; uncorrected formation energy = -1.81 eV/atom; symmetry = No. 12; spin magnetization = 0.0 μB per cell
1.0
4.0902 0.0000 0.0000
0.0000 8.3837 0.2119
-2.0451 -2.5077 8.7065
Se Er La Y
6 3 2 1
Direct
0.6664 0.0674 0.3327
0.3336 0.9326 0.6673
0.0061 0.7495 0.0122
0.6614 0.5956 0.3228
0.3386 0.4044 0.6772
0.9939 0.2505 0.9878
0.5000 0.5000 0.0000
0.8307 0.1664 0.6613
0.1693 0.8336 0.3387
0.8334 0.6665 0.6668
0.1666 0.3335 0.3332
0.5000 0.0000 0.0000

=====

No. 5
ZrSbClO2, relaxed, DFT PBE; uncorrected formation energy = -0.57 eV/atom; symmetry = No. 123; spin magnetization = 0.0 μB per cell
1.0
-2.8089 1.8327 2.1501
-2.5309 -5.2644 1.1810
2.2626 -0.3565 3.2596
Cl O Zr Sb
1 2 1 1
Direct
0.5000 0.5000 0.5000
0.0000 0.0000 0.5000
0.5000 0.0000 0.0000
0.0000 0.5000 0.0000
0.0000 0.0000 0.0000

=====

No. 6
CaNi2Te, relaxed, DFT PBE; uncorrected formation energy = -0.22 eV/atom; symmetry = No. 122; spin magnetization = 0.0 μB per cell
1.0
4.7499 0.0000 0.0000
0.0000 4.7499 0.0000
2.3749 2.3749 8.3293
Ni Te Ca
4 2 2
Direct
0.8750 0.1027 0.7500
0.8973 0.6250 0.2500
0.8527 0.1250 0.2500
0.3750 0.1473 0.7500
0.0000 0.0000 0.0000
0.7500 0.2500 0.5000
0.5000 0.5000 0.0000
0.2500 0.7500 0.5000

=====

No. 7
TbPm3ErTh, relaxed, DFT PBE; DFT formation energy = 0.03 eV/atom; symmetry = No. 11; spin magnetization = 0.0 μB per cell
1.0
5.0958 0.0000 0.0000
0.0000 7.9657 -1.1917
0.0000 -3.3794 10.2812
Tb Th Pm Er
2 2 6 2
Direct
0.2500 0.1215 0.2930
0.7500 0.8785 0.7070
0.7500 0.3764 0.8771
0.2500 0.6236 0.1229
0.2500 0.6164 0.7938
0.7500 0.3836 0.2062
0.2500 0.6290 0.4572
0.7500 0.3710 0.5428
0.2500 0.1322 0.9544
0.7500 0.8678 0.0456
0.2500 0.1258 0.6272
0.7500 0.8742 0.3728

=====

No. 8
YScCu2Bi, relaxed, DFT PBE; DFT formation energy = 0.67 eV/atom; symmetry = No. 123; spin magnetization = 0.0 μB per cell
1.0
-1.7437 4.0831 -1.8057
-5.3170 -1.7324 1.2172
0.3218 2.0484 4.3212
Sc Bi Y Cu
1 1 1 2
Direct
0.0000 0.0000 0.0000
0.5000 0.5000 0.5000
0.0000 0.5000 0.0000
0.0000 0.0000 0.5000
0.5000 0.0000 0.0000

=====

No. 9
Ho6AgRu, relaxed, DFT PBE; DFT formation energy = -0.15 eV/atom; symmetry = No. 139; spin magnetization = 0.0 μB per cell
1.0
8.8557 1.0121 -2.3497
8.0584 -2.2332 3.8786
-8.5347 -2.5187 -2.4050
Ru Ho Ag
1 6 1
Direct
0.0000 0.0000 0.0000
0.2466 0.2466 0.0000
0.0988 0.5988 0.5000
0.5988 0.0988 0.5000
0.9012 0.4012 0.5000
0.7534 0.7534 0.0000
0.4012 0.9012 0.5000
0.5000 0.5000 0.0000

=====

No. 10
DyHo3C2, relaxed, DFT PBE; DFT formation energy = -0.27 eV/atom; symmetry = No. 164; spin magnetization = 0.7 μB per cell
1.0
6.2302 0.0000 0.0000
0.0000 6.1615 -3.5574
0.0000 0.0000 7.1147
Ho C Dy
6 4 2
Direct
0.2153 0.3335 0.1668
0.2153 0.8332 0.1668
0.7847 0.6665 0.8332
0.2153 0.8332 0.6665
0.7847 0.1668 0.8332
0.7847 0.1668 0.3335
0.0000 0.0000 0.0000
0.0000 0.5000 0.5000
0.0000 0.0000 0.5000
0.0000 0.5000 0.0000
0.2183 0.3333 0.6667
0.7817 0.6667 0.3333

=====

No. 11
ScAl, relaxed, DFT PBE; DFT formation energy = -0.24 eV/atom; symmetry = No. 12; spin magnetization = 0.0 μB per cell
1.0
1.6134 5.2656 0.0093
-1.6134 5.2656 0.0093
0.0000 3.0525 7.0932
Al Sc
3 3
Direct
0.3612 0.3612 0.7775
0.0167 0.0167 0.9189
0.7052 0.7052 0.6370
0.3611 0.3611 0.2780
0.0385 0.0385 0.4731
0.6840 0.6840 0.0822

=====

No. 12
NaEuI2, relaxed, DFT PBE; uncorrected formation energy = -1.12 eV/atom; symmetry = No. 166; spin magnetization = 7.2 μB per cell
1.0
-4.1022 0.2642 1.9853
-0.8902 -2.4660 3.7371
1.8999 7.4831 8.1786
I Na Eu
2 1 1
Direct
0.8918 0.8918 0.3245
0.1082 0.1082 0.6755
0.0000 0.0000 0.0000
0.5000 0.5000 0.5000